Crystalline BaSmCu2Ge2 at its relaxed geometry, computed with PBE-GGA.

```
BaSmCu2Ge2
1.0
-2.0027 3.8932 0.5238
-1.9835 -3.6990 1.3510
3.5398 0.8197 7.4418
Cu Ge Sm Ba
2 2 1 1
Cartesian
-0.9219 1.6113 3.0582 Cu
0.4755 -0.5973 6.2583 Cu
0.5011 1.9408 6.0497 Ge
-0.9474 -0.9269 3.2669 Ge
1.7699 0.4099 3.7209 Sm
0.0000 0.0000 0.0000 Ba
```

Calculated values
Its formation energy from the elements is -0.52 eV/atom. The total energy is -0.3332 Ry/atom.